{
  "formula": "SrLi2FeO4",
  "functional": "PBE with a Hubbard U",
  "state": "relaxed",
  "cell": [[-2.710, 2.710, 3.370], [2.710, -2.710, 3.370], [2.710, 2.710, -3.370]],
  "species": ["Sr", "Li", "Li", "Fe", "O", "O", "O", "O"],
  "fractional_positions": [[0.000, 0.000, 0.000], [0.250, 0.750, 0.500], [0.750, 0.250, 0.500], [0.500, 0.500, 0.000], [0.153, 0.153, 0.594], [0.441, 0.847, 0.000], [0.559, 0.559, 0.406], [0.847, 0.441, 0.000]],
  "spacegroup": "No. 121",
  "final_energy_ev_per_cell": -45.86,
  "crystal_system": "tetragonal"
}